(a)
VASP calculation (PBEsol) on crystalline SbTe2S at its relaxed geometry.

Properties
* magnetization: 0.00 μB/cell

```
data_SbTe2S
_cell_length_a 7.594
_cell_length_b 7.594
_cell_length_c 7.925
_cell_angle_alpha 90.00
_cell_angle_beta 90.00
_cell_angle_gamma 90.00
_space_group_name_H-M_alt 'I -4 2 d'
_space_group_IT_number 122
_space_group_name_Hall 'I -4 2bw'
loop_
_atom_site_label
_atom_site_type_symbol
_atom_site_fract_x
_atom_site_fract_y
_atom_site_fract_z
Sb1 Sb 0.000 0.000 0.000
Te1 Te 0.230 0.750 0.625
S1 S 0.000 0.000 0.500
```


(b)
VASP calculation (PBEsol) on crystalline SbTe2S at its relaxed geometry.

Properties
* magnetization: 0.00 μB/cell

```
data_SbTe2S
_cell_length_a 3.3600
_cell_length_b 3.3600
_cell_length_c 30.7575
_cell_angle_alpha 90.00
_cell_angle_beta 90.00
_cell_angle_gamma 120.00
_space_group_name_H-M_alt 'R -3 m'
_space_group_IT_number 166
_space_group_name_Hall '-R 3 2"'
loop_
_atom_site_label
_atom_site_type_symbol
_atom_site_fract_x
_atom_site_fract_y
_atom_site_fract_z
Sb1 Sb 0.0000 0.0000 0.0000
Te1 Te 0.0000 0.0000 0.0989
S1 S 0.0000 0.0000 0.5000
```


Energy comparison, zero being the most stable, in eV/atom: (a) 0.000; (b) 0.019.